[1]
Hf2Cr2Bi (PBE, relaxed); electronic total energy = -84.49 eV for the cell shown; DFT formation energy = 0.1581 eV per atom; density of states at the Fermi level = 8.88 states/eV/cell
1.0
-4.326 -0.384 -5.657
-3.774 -5.116 3.233
-2.198 2.573 1.506
Cr Hf Bi
4 4 2
direct
0.101 0.399 0.000
0.899 0.601 0.000
0.399 0.899 0.000
0.601 0.101 0.000
0.321 0.179 0.500
0.179 0.679 0.500
0.679 0.821 0.500
0.821 0.321 0.500
0.500 0.500 0.000
0.000 0.000 0.000

---

[2]
HfCr3Bi (PBE, relaxed); electronic total energy = -35.25 eV for the cell shown; DFT formation energy = 1.4914 eV per atom; excess energy over the best structure of this formula in the dataset = 0.0000 eV per atom; density of states at the Fermi level = 5.27 states/eV/cell
1.0
-2.043 1.133 -4.272
0.747 -4.551 -1.563
-4.356 -1.311 1.736
Cr Bi Hf
3 1 1
direct
0.500 0.000 0.000
0.000 0.500 0.000
0.000 0.000 0.500
0.500 0.500 0.500
0.000 0.000 0.000

---

[3]
HfMg2CrBi (PBE, relaxed); electronic total energy = -21.92 eV for the cell shown; DFT formation energy = 0.9458 eV per atom; density of states at the Fermi level = 7.45 states/eV/cell
1.0
4.918 0.000 0.000
0.000 4.961 0.000
0.000 0.000 4.918
Hf Mg Cr Bi
1 2 1 1
direct
0.500 0.500 0.500
0.000 0.000 0.500
0.500 0.000 0.000
0.000 0.000 0.000
0.000 0.500 0.000